[1]
The following is a PBE-GGA calculation of Tb6Tm2Se3 after structural relaxation, from Alexandria via LeMat-Bulk.

Formation energy (no corrections) (eV per formula unit): -9.711
Density (g/cm³): 8.06
Total magnetization (Bohr magnetons per cell): 0.00

extended XYZ file:
```
11
Lattice="1.902 1.098 25.117 -1.902 1.098 25.117 0.000 -2.196 25.117" Properties=species:S:1:pos:R:3 pbc="T T T"
Tb 0.000 0.000 5.578
Tb 0.000 0.000 13.952
Tb 0.000 0.000 26.977
Tb 0.000 0.000 48.374
Tb 0.000 0.000 61.399
Tb 0.000 0.000 69.773
Tm 0.000 0.000 33.485
Tm 0.000 0.000 41.866
Se 0.000 0.000 0.000
Se 0.000 0.000 21.436
Se 0.000 0.000 53.915
```

=====

[2]
The following is a PBE-GGA calculation of Hf5Sn2Hg after structural relaxation, from Alexandria via LeMat-Bulk.

Density (g/cm³): 10.67
Calculated formation energy (eV/atom): 0.236
Total magnetization (Bohr magnetons per cell): 0.00

extended XYZ file:
```
16
Lattice="2.455 -6.858 0.000 2.455 6.858 0.000 0.000 0.000 12.300" Properties=species:S:1:pos:R:3 pbc="T T T"
Hf 2.455 5.361 7.662
Hf 2.455 5.361 10.788
Hf 2.455 2.669 3.075
Hf 2.455 2.614 6.242
Hf 2.455 2.614 12.209
Hf 2.455 -2.614 0.092
Hf 2.455 -2.614 6.059
Hf 2.455 -2.669 9.225
Hf 2.455 -5.361 1.512
Hf 2.455 -5.361 4.638
Sn 2.455 5.416 1.481
Sn 2.455 5.416 4.669
Sn 2.455 -5.416 7.631
Sn 2.455 -5.416 10.819
Hg 2.455 2.470 9.225
Hg 2.455 -2.470 3.075
```

=====

[3]
The following is a PBE-GGA calculation of Ta2BIrCl after structural relaxation, from Alexandria via LeMat-Bulk.

Formation energy (no corrections) (eV per formula unit): 8.407
Density (g/cm³): 11.58
Total magnetization (Bohr magnetons per cell): 0.00

extended XYZ file:
```
5
Lattice="4.474 0.000 0.000 0.000 4.474 0.000 0.000 0.000 4.300" Properties=species:S:1:pos:R:3 pbc="T T T"
Ta 0.000 2.237 0.000
Ta 2.237 0.000 0.000
B 0.000 0.000 2.150
Ir 2.237 2.237 2.150
Cl 2.237 2.237 0.000
```

=====

[4]
The following is a PBE-GGA calculation of YZnW2 after structural relaxation, from Alexandria via LeMat-Bulk.

Density (g/cm³): 11.79
Calculated formation energy (eV/atom): 0.643
Total magnetization (Bohr magnetons per cell): 0.00

extended XYZ file:
```
8
Lattice="5.649 0.000 0.000 0.000 9.413 0.000 0.000 0.000 2.765" Properties=species:S:1:pos:R:3 pbc="T T T"
Y 0.000 0.000 0.000
Y 2.825 4.707 0.000
Zn 0.000 4.707 0.000
Zn 2.825 0.000 0.000
W 1.412 2.353 1.382
W 1.412 7.060 1.382
W 4.237 2.353 1.382
W 4.237 7.060 1.382
```

=====

[5]
The following is a PBE-GGA calculation of Sr2AlPb after structural relaxation, from Alexandria via LeMat-Bulk.

Density (g/cm³): 5.16
Calculated formation energy (eV/atom): -0.295
Polymorph energy (0 for the lowest one) (eV per atom): 0.004
Total magnetization (Bohr magnetons per cell): 0.00

extended XYZ file:
```
16
Lattice="8.078 0.000 0.000 0.000 8.078 0.000 0.000 0.000 8.078" Properties=species:S:1:pos:R:3 pbc="T T T"
Sr 2.019 2.019 2.019
Sr 2.019 2.019 6.058
Sr 2.019 6.058 2.019
Sr 2.019 6.058 6.058
Sr 6.058 2.019 2.019
Sr 6.058 2.019 6.058
Sr 6.058 6.058 2.019
Sr 6.058 6.058 6.058
Al 0.000 0.000 0.000
Al 0.000 4.039 4.039
Al 4.039 0.000 4.039
Al 4.039 4.039 0.000
Pb 0.000 0.000 4.039
Pb 0.000 4.039 0.000
Pb 4.039 0.000 0.000
Pb 4.039 4.039 4.039
```

=====

[6]
The following is a PBE-GGA calculation of Pm12SiHg6 after structural relaxation, from Alexandria via LeMat-Bulk.

Formation energy (no corrections) (eV per formula unit): -4.994
Density (g/cm³): 8.42
Total magnetization (Bohr magnetons per cell): 0.00

extended XYZ file:
```
19
Lattice="6.124 3.536 4.508 -6.124 3.536 4.508 0.000 -7.072 4.508" Properties=species:S:1:pos:R:3 pbc="T T T"
Pm -4.024 -4.007 7.553
Pm -5.482 1.482 5.971
Pm -2.154 -0.362 4.993
Pm 1.458 -5.488 5.971
Pm 1.390 -1.684 4.993
Pm -0.763 -2.046 8.531
Pm 0.763 2.046 4.993
Pm -1.390 1.684 8.531
Pm -1.458 5.488 7.553
Pm 2.154 0.362 8.531
Pm 5.482 -1.482 7.553
Pm 4.024 4.007 5.971
Si 0.000 0.000 6.762
Hg -1.186 -3.527 5.770
Hg -3.647 -0.737 7.754
Hg -2.462 2.790 5.770
Hg 2.462 -2.790 7.754
Hg 3.647 0.737 5.770
Hg 1.186 3.527 7.754
```

=====

[7]
The following is a PBE-GGA calculation of Ca2Sn4Pd3 after structural relaxation, from Alexandria via LeMat-Bulk.

Density (g/cm³): 7.22
Calculated formation energy (eV/atom): -0.643
Polymorph energy (0 for the lowest one) (eV per atom): 0.000
Total magnetization (Bohr magnetons per cell): 0.00

extended XYZ file:
```
18
Lattice="3.107 -7.995 0.000 3.107 7.995 0.000 0.000 0.000 8.092" Properties=species:S:1:pos:R:3 pbc="T T T"
Ca 3.107 6.237 7.309
Ca 3.107 1.757 3.263
Ca 3.107 -1.757 4.829
Ca 3.107 -6.237 0.783
Sn 3.107 5.071 4.206
Sn 1.554 0.984 6.069
Sn 1.554 -0.984 2.023
Sn 3.107 2.924 0.160
Sn 3.107 -2.924 7.932
Sn 4.661 0.984 6.069
Sn 4.661 -0.984 2.023
Sn 3.107 -5.071 3.886
Pd 0.000 0.000 4.046
Pd 1.554 3.715 6.069
Pd 1.554 -3.715 2.023
Pd 3.107 0.000 0.000
Pd 4.661 3.715 6.069
Pd 4.661 -3.715 2.023
```

=====

[8]
The following is a PBE-GGA calculation of LiPd2Pt after structural relaxation, from Alexandria via LeMat-Bulk.

Density (g/cm³): 11.61
Calculated formation energy (eV/atom): -0.194
Polymorph energy (0 for the lowest one) (eV per atom): 0.178
Total magnetization (Bohr magnetons per cell): 0.00

extended XYZ file:
```
8
Lattice="4.771 0.000 0.000 0.000 2.756 0.000 -1.578 0.000 9.022" Properties=species:S:1:pos:R:3 pbc="T T T"
Li 0.000 0.000 0.000
Li 2.385 1.378 0.000
Pd -0.785 1.378 6.899
Pd 1.595 0.000 2.126
Pd 1.600 0.000 6.899
Pd 3.980 1.378 2.126
Pt 0.800 1.378 4.514
Pt 3.185 0.000 4.514
```

=====

[9]
The following is a PBE-GGA calculation of DyAlNiPd after structural relaxation, from Alexandria via LeMat-Bulk.

Density (g/cm³): 8.63
Calculated formation energy (eV/atom): -0.630
Total magnetization (Bohr magnetons per cell): 0.00

extended XYZ file:
```
16
Lattice="6.487 0.000 0.000 0.000 6.487 0.000 0.000 0.000 6.487" Properties=species:S:1:pos:R:3 pbc="T T T"
Dy 0.000 0.000 0.000
Dy 0.000 3.243 3.243
Dy 3.243 0.000 3.243
Dy 3.243 3.243 0.000
Al 0.000 0.000 3.243
Al 0.000 3.243 0.000
Al 3.243 0.000 0.000
Al 3.243 3.243 3.243
Ni 1.622 1.622 1.622
Ni 1.622 4.865 4.865
Ni 4.865 1.622 4.865
Ni 4.865 4.865 1.622
Pd 1.622 1.622 4.865
Pd 1.622 4.865 1.622
Pd 4.865 1.622 1.622
Pd 4.865 4.865 4.865
```

=====

[10]
The following is a PBE-GGA calculation of RhWBr2 after structural relaxation, from Alexandria via LeMat-Bulk.

Formation energy (no corrections) (eV per formula unit): 0.830
Density (g/cm³): 8.97
Polymorph energy (0 for the lowest one) (eV per atom): 0.135
Total magnetization (Bohr magnetons per cell): 0.00

extended XYZ file:
```
4
Lattice="3.038 0.000 0.000 0.000 3.038 0.000 0.000 0.000 8.953" Properties=species:S:1:pos:R:3 pbc="T T T"
Rh 0.000 0.000 0.000
W 1.519 1.519 1.597
Br 0.000 0.000 3.361
Br 1.519 1.519 6.913
```

=====

[11]
The following is a PBE-GGA calculation of TeIrOsPb after structural relaxation, from Alexandria via LeMat-Bulk.

Formation energy (no corrections) (eV per formula unit): 2.213
Density (g/cm³): 14.95
Polymorph energy (0 for the lowest one) (eV per atom): 0.219
Total magnetization (Bohr magnetons per cell): 0.00

extended XYZ file:
```
4
Lattice="4.679 0.000 0.000 0.000 3.125 0.000 -1.345 0.000 5.449" Properties=species:S:1:pos:R:3 pbc="T T T"
Te 0.000 0.000 0.000
Ir 3.252 0.000 2.528
Os 2.271 1.563 0.638
Pb 0.907 1.563 3.249
```

=====

[12]
The following is a PBE-GGA calculation of FeAs2Se4 after structural relaxation, from Alexandria via LeMat-Bulk.

Formation energy (no corrections) (eV per formula unit): 1.818
Density (g/cm³): 5.22
Total magnetization (Bohr magnetons per cell): 7.29

extended XYZ file:
```
14
Lattice="5.125 0.000 0.000 0.000 5.125 0.000 0.000 0.000 12.636" Properties=species:S:1:pos:R:3 pbc="T T T"
Fe 0.000 0.000 0.000
Fe 2.562 2.562 6.318
As 0.000 0.000 4.833
As 0.000 0.000 7.803
As 2.562 2.562 1.485
As 2.562 2.562 11.152
Se 0.000 0.000 2.596
Se 0.000 0.000 10.040
Se 0.000 2.562 0.000
Se 0.000 2.562 6.318
Se 2.562 0.000 0.000
Se 2.562 0.000 6.318
Se 2.562 2.562 3.722
Se 2.562 2.562 8.914
```

=====

Q: Which final energy values were calculated for the entries above? A: -56.89 -112.37 -32.68 -62.14 -47.98 -69.24 -82.75 -38.23 -87.36 -22.82 -24.73 -59.76, in eV per cell.